CrB3P after structural relaxation, computed with PBE.

```
CrB3P
1.0
3.766 0.000 0.000
0.000 3.766 0.000
0.000 0.000 3.766
Cr B P
1 3 1
Direct
0.000 0.000 0.000
0.000 0.500 0.500
0.500 0.000 0.500
0.500 0.500 0.000
0.500 0.500 0.500
```

Summary:
Energy relative to the lowest polymorph listed for this composition   158 meV/atom
ΔH_f (0 K)   1713 meV per atom
Symmetry   No. 221
Uncorrected energy   -5.301 eV/atom